1.
Entry from Alexandria: crystalline ZrBiO2 at its relaxed geometry (PBE).

```
ZrBiO2
1.0
-3.179 3.179 4.564
3.179 -3.179 4.564
3.179 3.179 -4.564
Zr Bi O
2 2 4
Cartesian
0.000 0.000 0.000
0.000 3.179 2.282
3.179 0.000 2.282
0.000 0.000 4.564
0.237 1.590 1.141
-1.590 2.943 3.423
-0.237 4.769 1.141
1.590 3.416 3.423
```

Summary:
**Symmetry**: I-42d, No. 122
**Density**: 6.0 Mg/m³
**Formation energy from raw total energies**: -1937 meV/atom

2.
Entry from Alexandria: crystalline ZrBiO2 at its relaxed geometry (PBE).

```
ZrBiO2
1.0
1.684 0.972 7.229
-1.684 0.972 7.229
0.000 -1.945 7.229
Zr Bi O
1 1 2
Cartesian
0.000 0.000 0.000
0.000 0.000 10.844
0.000 0.000 2.039
0.000 0.000 19.649
```

Summary:
**Symmetry**: R-3m, No. 166
**Density**: 7.8 Mg/m³
**Formation energy from raw total energies**: -1117 meV/atom

3.
Entry from Alexandria: crystalline ZrBiO at its relaxed geometry (PBE).

```
ZrBiO
1.0
17.773 0.000 0.000
0.000 3.117 0.000
0.000 0.000 8.907
Zr Bi O
6 6 6
Cartesian
2.276 0.000 0.614
4.443 1.559 3.314
6.611 0.000 0.614
11.162 0.000 8.292
13.330 1.559 5.593
15.498 0.000 8.292
0.369 1.559 7.288
4.443 1.559 7.751
8.518 1.559 7.288
9.256 1.559 1.619
13.330 1.559 1.155
17.404 1.559 1.619
3.083 0.000 2.404
4.443 0.000 4.608
5.804 0.000 2.404
11.970 0.000 6.503
13.330 0.000 4.298
14.691 0.000 6.503
```

Summary:
**Symmetry**: Pmma, No. 51
**Density**: 6.4 Mg/m³
**Formation energy from raw total energies**: -1503 meV/atom

4.
Entry from Alexandria: crystalline ZrBiO4 at its relaxed geometry (PBE).

```
ZrBiO4
1.0
-2.665 2.665 5.441
2.665 -2.665 5.441
2.665 2.665 -5.441
Zr Bi O
2 2 8
Cartesian
0.000 1.332 1.360
2.665 1.332 4.081
2.665 1.332 -1.360
0.000 1.332 6.802
4.051 0.110 0.236
1.222 0.054 2.485
1.222 2.719 -2.485
1.387 0.110 5.206
1.278 2.554 0.236
1.443 -0.054 7.926
1.443 2.610 2.956
-1.387 2.554 5.206
```

Summary:
**Symmetry**: I4_1/a, No. 88
**Density**: 7.8 Mg/m³
**Formation energy from raw total energies**: -2095 meV/atom

- Which value of formation energy from raw total energies does entry 4 give?
  -2095 meV/atom